{"formula": "ZrAg4", "functional": "GGA-PBEsol", "state": "optimized geometry", "spacegroup": "I4/mmm, No. 139", "final_energy_ev_per_cell": -22.4, "m_tot_mub_per_cell": 0.00, "ef_ev_per_fu": -0.1, "cell": [[2.8831, 0.0000, 0.0000], [0.0000, 2.8831, 0.0000], [-1.4416, -1.4416, 10.4973]], "species": ["Ag", "Ag", "Ag", "Ag", "Zr"], "frac_coords": [[0.6054, 0.6054, 0.2109], [0.2022, 0.2022, 0.4044], [0.7978, 0.7978, 0.5956], [0.3946, 0.3946, 0.7891], [0.0000, 0.0000, 0.0000]]}